(1)
Below is a relaxed KMn3Al crystal, with properties calculated at the GGA-PBE level.

a = 4.7994 Å, b = 4.7994 Å, c = 4.7994 Å
α = 90.00°, β = 90.00°, γ = 90.00°
Positions (direct):
K: 0.0000 0.0000 0.0000
Mn: 0.0000 0.0000 0.5000
Mn: 0.0000 0.5000 0.0000
Mn: 0.5000 0.0000 0.0000
Al: 0.5000 0.5000 0.5000

Calculated values
V   22.11 Å³ per atom
SG   Pm-3m
Total energy   -21.7 eV per cell
Formation energy   2.122 eV per atom
Total magnetic moment   11.461 Bohr magnetons per cell

---

(2)
Below is a relaxed KMn2Al crystal, with properties calculated at the GGA-PBE level.

a = 2.9966 Å, b = 5.0345 Å, c = 5.3907 Å
α = 90.00°, β = 90.00°, γ = 90.00°
Positions (direct):
K: 0.0000 0.0000 0.0000
Mn: 0.0000 0.5000 0.5000
Mn: 0.5000 0.5000 0.0000
Al: 0.5000 0.0000 0.5000

Calculated values
V   20.33 Å³ per atom
SG   Pmmm
Total energy   -19.4 eV per cell
Formation energy   0.953 eV per atom
Total magnetic moment   7.424 Bohr magnetons per cell

---

(3)
Below is a relaxed KMnAl2 crystal, with properties calculated at the GGA-PBE level.

a = 6.6939 Å, b = 6.6939 Å, c = 6.6939 Å
α = 90.00°, β = 90.00°, γ = 90.00°
Positions (direct):
K: 0.0000 0.0000 0.0000
K: 0.0000 0.5000 0.5000
K: 0.5000 0.0000 0.5000
K: 0.5000 0.5000 0.0000
Mn: 0.0000 0.0000 0.5000
Mn: 0.0000 0.5000 0.0000
Mn: 0.5000 0.0000 0.0000
Mn: 0.5000 0.5000 0.5000
Al: 0.2500 0.2500 0.2500
Al: 0.2500 0.2500 0.7500
Al: 0.2500 0.7500 0.2500
Al: 0.2500 0.7500 0.7500
Al: 0.7500 0.2500 0.2500
Al: 0.7500 0.2500 0.7500
Al: 0.7500 0.7500 0.2500
Al: 0.7500 0.7500 0.7500

Calculated values
V   18.75 Å³ per atom
SG   Fm-3m
Total energy   -55.4 eV per cell
Formation energy   0.974 eV per atom
Total magnetic moment   0.516 Bohr magnetons per cell

---

(4)
Below is a relaxed KMn2Al crystal, with properties calculated at the GGA-PBE level.

a = 4.9748 Å, b = 4.9748 Å, c = 7.0213 Å
α = 90.00°, β = 90.00°, γ = 90.00°
Positions (direct):
K: 0.0000 0.0000 0.0000
K: 0.5000 0.5000 0.5000
Mn: 0.0000 0.0000 0.5000
Mn: 0.0000 0.5000 0.7500
Mn: 0.5000 0.0000 0.2500
Mn: 0.5000 0.5000 0.0000
Al: 0.0000 0.5000 0.2500
Al: 0.5000 0.0000 0.7500

Calculated values
V   21.72 Å³ per atom
SG   I-4m2
Total energy   -38.8 eV per cell
Formation energy   0.944 eV per atom
Total magnetic moment   15.971 Bohr magnetons per cell

---

(5)
Below is a relaxed K2MnAl crystal, with properties calculated at the GGA-PBE level.

a = 3.4195 Å, b = 3.4195 Å, c = 36.5376 Å
α = 90.00°, β = 90.00°, γ = 120.00°
Positions (direct):
K: 0.0000 0.0000 0.2475
K: 0.0000 0.0000 0.7525
K: 0.3333 0.6667 0.4192
K: 0.3333 0.6667 0.9142
K: 0.6667 0.3333 0.0858
K: 0.6667 0.3333 0.5808
Mn: 0.0000 0.0000 0.0000
Mn: 0.3333 0.6667 0.6667
Mn: 0.6667 0.3333 0.3333
Al: 0.0000 0.0000 0.5000
Al: 0.3333 0.6667 0.1667
Al: 0.6667 0.3333 0.8333

Calculated values
V   30.83 Å³ per atom
SG   R-3m
Total energy   -35.1 eV per cell
Formation energy   0.854 eV per atom
Total magnetic moment   13.221 Bohr magnetons per cell

---

(6)
Below is a relaxed KMnAl3 crystal, with properties calculated at the GGA-PBE level.

a = 5.5449 Å, b = 5.5449 Å, c = 5.5449 Å
α = 90.00°, β = 90.00°, γ = 90.00°
Positions (direct):
K: 0.0000 0.0000 0.0000
Mn: 0.5000 0.5000 0.5000
Al: 0.0000 0.0000 0.5000
Al: 0.0000 0.5000 0.0000
Al: 0.5000 0.0000 0.0000

Calculated values
V   34.10 Å³ per atom
SG   Pm-3m
Total energy   -12.3 eV per cell
Formation energy   1.848 eV per atom
Total magnetic moment   4.474 Bohr magnetons per cell